No. 1
The following is a GGA-PBE calculation of an optimized crystal structure of MgAlTe2, from Alexandria via LeMat-Bulk.

**E_form (uncorrected)**: -0.19 eV per atom
**Volume**: 264.8 Å³ per cell
**Crystal system**: orthorhombic

a = 3.9858 Å, b = 8.2984 Å, c = 8.0049 Å
α = 90.00°, β = 90.00°, γ = 90.00°
Space group Cmmm (No. 65)
One atom of each set of equivalent atoms:
1 Mg 0.0000 0.0000 0.0000 x2
2 Al 0.0000 0.0000 0.5000 x2
3 Te 0.0000 0.5000 0.2552 x4

***

No. 2
The following is a GGA-PBE calculation of an optimized crystal structure of KNb2As, from Alexandria via LeMat-Bulk.

**Volume**: 455.7 Å³ per cell
**Crystal system**: tetragonal
**E_form**: 731 meV/atom

a = 4.8755 Å, b = 4.8755 Å, c = 19.1689 Å
α = 90.00°, β = 90.00°, γ = 90.00°
Space group I-42d (No. 122)
One atom of each set of equivalent atoms:
1 K 0.0000 0.0000 0.0000 x4
2 Nb 0.0384 0.2500 0.6250 x8
3 As 0.0000 0.0000 0.5000 x4

***

No. 3
The following is a GGA-PBE calculation of an optimized crystal structure of CsPmBi2, from Alexandria via LeMat-Bulk.

**Energy relative to the lowest polymorph listed for this composition**: 0 kJ/mol of formula units
**Volume**: 158.0 Å³ per cell
**Crystal system**: tetragonal
**E_form**: -551 meV/atom

a = 4.3419 Å, b = 4.3419 Å, c = 8.3789 Å
α = 90.00°, β = 90.00°, γ = 90.00°
Space group P4/mmm (No. 123)
One atom of each set of equivalent atoms:
1 Cs 0.0000 0.0000 0.0000 x1
2 Pm 0.0000 0.0000 0.5000 x1
3 Bi 0.5000 0.5000 0.3170 x2

***

No. 4
The following is a GGA-PBE calculation of an optimized crystal structure of Li3Ag3Au4, from Alexandria via LeMat-Bulk.

**Volume**: 342.3 Å³ per cell
**Crystal system**: orthorhombic
**E_form**: -257 meV/atom

a = 2.8992 Å, b = 10.5276 Å, c = 11.2144 Å
α = 90.00°, β = 90.00°, γ = 90.00°
Space group Amm2 (No. 38)
One atom of each set of equivalent atoms:
1 Li 0.0000 0.0000 0.0000 x2
2 Li 0.0000 0.1584 0.6790 x4
3 Ag 0.0000 0.0000 0.3313 x2
4 Ag 0.5000 0.2459 0.4154 x4
5 Au 0.5000 0.0000 0.5469 x2
6 Au 0.5000 0.0000 0.8082 x2
7 Au 0.5000 0.1411 0.1526 x4

***

No. 5
The following is a GGA-PBE calculation of an optimized crystal structure of Mg2TaAu, from Alexandria via LeMat-Bulk.

**Energy relative to the lowest polymorph listed for this composition**: 64 kJ/mol of formula units
**Volume**: 73.6 Å³ per cell
**Crystal system**: orthorhombic
**E_form**: 65 meV/atom

a = 2.9381 Å, b = 3.9457 Å, c = 6.3516 Å
α = 90.00°, β = 90.00°, γ = 90.00°
Space group Pmmm (No. 47)
One atom of each set of equivalent atoms:
1 Mg 0.0000 0.0000 0.2362 x2
2 Ta 0.5000 0.5000 0.5000 x1
3 Au 0.5000 0.5000 0.0000 x1

***

No. 6
The following is a GGA-PBE calculation of an optimized crystal structure of DyNp2In9, from Alexandria via LeMat-Bulk.

**Volume**: 299.5 Å³ per cell
**Crystal system**: tetragonal
**E_form**: -143 meV/atom

a = 4.6339 Å, b = 4.6339 Å, c = 13.9473 Å
α = 90.00°, β = 90.00°, γ = 90.00°
Space group P4/mmm (No. 123)
One atom of each set of equivalent atoms:
1 Dy 0.0000 0.0000 0.0000 x1
2 Np 0.0000 0.0000 0.3319 x2
3 In 0.0000 0.5000 0.1668 x4
4 In 0.0000 0.5000 0.5000 x2
5 In 0.5000 0.5000 0.0000 x1
6 In 0.5000 0.5000 0.3340 x2

***

No. 7
The following is a GGA-PBE calculation of an optimized crystal structure of KNpAs2, from Alexandria via LeMat-Bulk.

**Energy relative to the lowest polymorph listed for this composition**: 9 kJ/mol of formula units
**Volume**: 360.8 Å³ per cell
**Crystal system**: trigonal
**E_form**: -423 meV/atom

a = 4.2421 Å, b = 4.2421 Å, c = 23.1488 Å
α = 90.00°, β = 90.00°, γ = 120.00°
Space group R3m (No. 160, hexagonal axes)
One atom of each set of equivalent atoms:
1 K 0.0000 0.0000 0.0000 x3
2 Np 0.0000 0.0000 0.8297 x3
3 As 0.0000 0.0000 0.2238 x3
4 As 0.0000 0.0000 0.4360 x3

***

No. 8
The following is a GGA-PBE calculation of an optimized crystal structure of Cs3Ce2HfSe6, from Alexandria via LeMat-Bulk.

**E_form (uncorrected)**: -1.50 eV per atom
**Volume**: 793.1 Å³ per cell
**Crystal system**: monoclinic

a = 7.3852 Å, b = 12.7890 Å, c = 8.7523 Å
α = 90.00°, β = 106.37°, γ = 90.00°
Space group C2/m (No. 12)
One atom of each set of equivalent atoms:
1 Cs 0.0000 0.0000 0.0000 x2
2 Cs 0.0000 0.3292 0.0000 x4
3 Ce 0.0000 0.1662 0.5000 x4
4 Hf 0.0000 0.5000 0.5000 x2
5 Se 0.2162 0.3456 0.6854 x8
6 Se 0.2457 0.5000 0.3126 x4

***

> The lowest volume belongs to which entry?

Mg2TaAu